No. 1
A relaxed BaMgZn2Pt crystal, computed with PBE.

Cell and atoms, written as POSCAR:
```
BaMgZn2Pt
1.0
-2.295 2.295 5.598
2.295 -2.295 5.598
2.295 2.295 -5.598
Ba Mg Zn Pt
1 1 2 1
direct
0.000 0.000 0.000
0.621 0.621 0.000
0.271 0.771 0.500
0.771 0.271 0.500
0.383 0.383 0.000
```

Values from the calculation:
The calculation puts the total magnetization at 0.000 μB/atom. As for the space-group type: I4mm.

No. 2
A relaxed CsNbGeS5 crystal, computed with PBE.

Cell and atoms, written as POSCAR:
```
CsNbGeS5
1.0
7.125 0.000 0.000
2.057 7.239 0.000
2.118 3.296 8.693
Cs Nb Ge S
2 2 2 10
direct
0.106 0.351 0.311
0.894 0.649 0.689
0.264 0.960 0.995
0.736 0.040 0.005
0.477 0.702 0.372
0.523 0.298 0.628
0.064 0.783 0.969
0.192 0.866 0.286
0.285 0.129 0.709
0.425 0.609 0.635
0.426 0.241 0.987
0.574 0.759 0.013
0.575 0.391 0.365
0.715 0.871 0.291
0.808 0.134 0.714
0.936 0.217 0.031
```

Values from the calculation:
The calculation puts the total magnetization at 0.000 μB/atom. As for the space-group type: P-1.

No. 3
A relaxed KSnAuO3 crystal, computed with PBE.

Cell and atoms, written as POSCAR:
```
KSnAuO3
1.0
11.877 0.000 0.000
0.000 3.219 0.000
0.000 0.000 10.538
K Sn Au O
4 4 4 12
direct
0.243 0.250 0.141
0.257 0.750 0.641
0.743 0.250 0.359
0.757 0.750 0.859
0.030 0.250 0.368
0.470 0.750 0.868
0.530 0.250 0.132
0.970 0.750 0.632
0.031 0.250 0.913
0.469 0.750 0.413
0.531 0.250 0.587
0.969 0.750 0.087
0.076 0.750 0.788
0.080 0.250 0.560
0.128 0.750 0.311
0.372 0.250 0.811
0.420 0.750 0.060
0.424 0.250 0.288
0.576 0.750 0.712
0.580 0.250 0.940
0.628 0.750 0.189
0.872 0.250 0.689
0.920 0.750 0.440
0.924 0.250 0.212
```

Values from the calculation:
As for the space-group type: Pnma.

No. 4
A relaxed AcIrPd crystal, computed with PBE.

Cell and atoms, written as POSCAR:
```
AcIrPd
1.0
0.000 3.340 3.340
3.340 0.000 3.340
3.340 3.340 0.000
Ac Ir Pd
1 1 1
direct
0.000 0.000 0.000
0.500 0.500 0.500
0.250 0.250 0.250
```

Values from the calculation:
The calculation puts the total magnetization at 0.002 μB/atom. The calculation puts the formation energy at -0.125 eV/atom. As for the space-group type: F-43m.

No. 5
A relaxed ErHfCu crystal, computed with PBE.

Cell and atoms, written as POSCAR:
```
ErHfCu
1.0
0.000 3.246 3.246
3.246 0.000 3.246
3.246 3.246 0.000
Er Hf Cu
1 1 1
direct
0.000 0.000 0.000
0.500 0.500 0.500
0.250 0.250 0.250
```

Values from the calculation:
The calculation puts the total magnetization at 0.180 μB/atom. The calculation puts the formation energy at 0.280 eV/atom. As for the space-group type: F-43m. Its distance to the lowest polymorph of the same formula is 0.0 kJ/mol of atoms.

No. 6
A relaxed ScCuAgBi crystal, computed with PBE.

Cell and atoms, written as POSCAR:
```
ScCuAgBi
1.0
0.000 3.444 3.444
3.444 0.000 3.444
3.444 3.444 0.000
Sc Cu Ag Bi
1 1 1 1
direct
0.000 0.000 0.000
0.250 0.250 0.250
0.750 0.750 0.750
0.500 0.500 0.500
```

Values from the calculation:
The calculation puts the total magnetization at 0.000 μB/atom. As for the space-group type: F-43m. Its distance to the lowest polymorph of the same formula is 1.4 kJ/mol of atoms.

Number 1: uncorrected energy -2.7846 eV/atom. Number 2: uncorrected energy -5.3501 eV/atom. Number 3: uncorrected energy -5.0915 eV/atom. Number 4: uncorrected energy -6.1703 eV/atom. Number 5: uncorrected energy -5.7986 eV/atom. Number 6: uncorrected energy -4.2996 eV/atom.